Density functional theory data (GGA-PBEsol) for crystalline KCaHg2 at its relaxed geometry.

Values from the calculation:
- ρ (Mg/m³) = 7.0
- symmetry = Fm-3m
- ΔE to the lowest computed polymorph (meV per atom) = 78
- total magnetization (μB per atom) = 0.0001
- E_form (meV/atom) = -273

Structure (POSCAR):
```
KCaHg2
1.0
0.000 3.855 3.855
3.855 0.000 3.855
3.855 3.855 0.000
K Ca Hg
1 1 2
direct
0.000 0.000 0.000
0.500 0.500 0.500
0.250 0.250 0.250
0.750 0.750 0.750
```